[1]
# Li3PdPb (GGA-PBEsol, relaxed)
data_Li3PdPb
_chemical_formula_sum 'Li3 Pd1 Pb1'
_symmetry_space_group_name_H-M 'P m -3 m'
_symmetry_Int_Tables_number 221
_symmetry_space_group_name_Hall '-P 4 2 3'
_cell_length_a 4.6363
_cell_length_b 4.6363
_cell_length_c 4.6363
_cell_angle_alpha 90.00
_cell_angle_beta 90.00
_cell_angle_gamma 90.00
loop_
_atom_site_label
_atom_site_type_symbol
_atom_site_fract_x
_atom_site_fract_y
_atom_site_fract_z
Li1 Li 0.0000 0.0000 0.5000
Pd1 Pd 0.0000 0.0000 0.0000
Pb1 Pb 0.5000 0.5000 0.5000
# Size of the total moment   0.00 μB per formula unit
# Fermi-level density of states   0.416 states/eV per atom
# E_tot   -3.186 eV per atom
# ΔE_f   -0.01 eV/atom

=====

[2]
# Ti2NiPbS (GGA-PBEsol, relaxed)
data_Ti2NiPbS
_chemical_formula_sum 'Ti2 Ni1 Pb1 S1'
_symmetry_space_group_name_H-M 'P 4/m m m'
_symmetry_Int_Tables_number 123
_symmetry_space_group_name_Hall '-P 4 2'
_cell_length_a 4.3759
_cell_length_b 4.3759
_cell_length_c 5.2616
_cell_angle_alpha 90.00
_cell_angle_beta 90.00
_cell_angle_gamma 90.00
loop_
_atom_site_label
_atom_site_type_symbol
_atom_site_fract_x
_atom_site_fract_y
_atom_site_fract_z
Ti1 Ti 0.0000 0.5000 0.0000
Ni1 Ni 0.0000 0.0000 0.5000
Pb1 Pb 0.5000 0.5000 0.5000
S1 S 0.5000 0.5000 0.0000
# Size of the total moment   0.00 μB per formula unit
# Fermi-level density of states   0.782 states/eV per atom
# E_tot   -5.963 eV per atom
# Uncorrected formation energy   1.37 eV/f.u.